No. 1
VASP calculation (PBE-GGA) on a relaxed structure of TaIrRhAu2.

Calculated values
ΔH_f (0 K) = 1.663 eV/atom
total magnetization = 0.8 μB per cell

The structure in POSCAR format:
```
TaIrRhAu2
1.0
4.991 0.000 0.000
0.000 4.575 0.000
0.000 0.000 4.991
Au Ta Rh Ir
2 1 1 1
Direct
0.000 0.000 0.500 Au
0.500 0.000 0.000 Au
0.000 0.000 0.000 Ta
0.000 0.500 0.000 Rh
0.500 0.500 0.500 Ir
```

No. 2
VASP calculation (PBE-GGA) on a relaxed structure of Th6Ir2Rh3Au.

Calculated values
ΔH_f (0 K) = -0.891 eV/atom
total magnetization = 0.0 μB per cell

The structure in POSCAR format:
```
Th6Ir2Rh3Au
1.0
4.131 0.000 0.000
0.000 8.366 0.322
-2.065 -2.387 8.706
Rh Th Ir Au
3 6 2 1
Direct
0.500 0.500 0.000 Rh
0.837 0.165 0.675 Rh
0.163 0.835 0.325 Rh
0.326 0.910 0.652 Th
0.668 0.583 0.336 Th
0.997 0.733 0.995 Th
0.674 0.090 0.348 Th
0.003 0.267 0.005 Th
0.332 0.417 0.664 Th
0.834 0.668 0.668 Ir
0.166 0.332 0.332 Ir
0.500 0.000 0.000 Au
```